Entry from the Open Quantum Materials Database: an optimized crystal structure of Nd5YTe6 (PBE-GGA).

Cell: 7.764 7.764 7.738 Å, 99.61 99.61 120.10°
Sites, in units of the cell vectors:
Nd1 0.000 0.000 0.000
Nd2 0.168 0.832 0.500
Nd3 0.326 0.674 0.000
Nd4 0.674 0.326 0.000
Nd5 0.832 0.168 0.500
Y1 0.500 0.500 0.500
Te1 0.094 0.418 0.256
Te2 0.258 0.258 0.750
Te3 0.418 0.094 0.256
Te4 0.582 0.906 0.744
Te5 0.742 0.742 0.250
Te6 0.906 0.582 0.744

Properties
uncorrected energy: -5.50 eV/atom
space-group type: C2/m (12)

Entry from the Open Quantum Materials Database: an optimized crystal structure of KNiPdSe3 (PBE-GGA).

Cell: 7.513 7.513 10.177 Å, 90.00 90.00 150.93°
Sites, in units of the cell vectors:
K1 0.249 0.751 0.750
K2 0.751 0.249 0.250
Ni1 0.039 0.961 0.250
Ni2 0.961 0.039 0.750
Pd1 0.500 0.500 0.000
Pd2 0.500 0.500 0.500
Se1 0.116 0.884 0.045
Se2 0.116 0.884 0.455
Se3 0.444 0.556 0.250
Se4 0.556 0.444 0.750
Se5 0.884 0.116 0.545
Se6 0.884 0.116 0.955

Properties
uncorrected energy: -4.17 eV/atom
energy above the most stable polymorph in this dataset: 0 meV per atom
space-group type: Cmcm (63)

Entry from the Open Quantum Materials Database: an optimized crystal structure of LaPr2Mg3AgPd2 (PBE-GGA).

Cell: 4.187 7.720 7.720 Å, 119.55 90.00 90.00°
Sites, in units of the cell vectors:
La1 0.000 0.000 0.000
Pr1 0.000 0.422 0.842
Pr2 0.000 0.842 0.422
Mg1 0.500 0.177 0.425
Mg2 0.500 0.425 0.177
Mg3 0.500 0.664 0.664
Ag1 0.000 0.422 0.422
Pd1 0.500 0.088 0.758
Pd2 0.500 0.758 0.088

Properties
uncorrected energy: -4.12 eV/atom
space-group type: Amm2 (38)

Entry from the Open Quantum Materials Database: an optimized crystal structure of PW2N (PBE-GGA).

Cell: 2.976 2.976 12.844 Å, 90.00 90.00 120.00°
Sites, in units of the cell vectors:
P1 0.333 0.667 0.250
P2 0.667 0.333 0.750
W1 0.333 0.667 0.610
W2 0.333 0.667 0.890
W3 0.667 0.333 0.110
W4 0.667 0.333 0.390
N1 0.000 0.000 0.000
N2 0.000 0.000 0.500

Properties
uncorrected energy: -9.82 eV/atom
energy above the most stable polymorph in this dataset: 48 meV per atom
space-group type: P6_3/mmc (194)